## SnWIO2 (PBE with a Hubbard U)

Data for crystalline SnWIO2 at its relaxed geometry.

## Properties
Energy above the most stable polymorph in this dataset in kJ per mole of atoms: 50.0
Energy in eV/cell: -22.42
Spin magnetization in μB/f.u.: 4.76

Unit cell a=4.1266 b=4.1266 c=6.6125 alpha=90.00 beta=90.00 gamma=90.00
Atoms (fractional coordinates):
O  0.5000  0.0000  0.0000
O  0.0000  0.5000  0.0000
Sn  0.0000  0.0000  0.0000
I  0.0000  0.0000  0.5000
W  0.5000  0.5000  0.5000